# 1
A relaxed LaPrPd6 crystal, computed with PBE-GGA.

Cell and atoms, written as POSCAR:
```
LaPrPd6
1.0
4.229 0.000 0.000
0.000 4.229 0.000
0.000 0.000 8.450
Pd La Pr
6 1 1
Direct
0.500 0.500 0.000 Pd
0.000 0.500 0.250 Pd
0.500 0.500 0.500 Pd
0.500 0.000 0.250 Pd
0.000 0.500 0.750 Pd
0.500 0.000 0.750 Pd
0.000 0.000 0.500 La
0.000 0.000 0.000 Pr
```

Values from the calculation:
Energy ... -47.0 eV per cell
D(E_F) ... 5.20 states/eV per cell
Calculated density ... 10.1 g cm⁻³



# 2
A relaxed LaPrTlPd crystal, computed with PBE-GGA.

Cell and atoms, written as POSCAR:
```
LaPrTlPd
1.0
5.413 0.000 0.000
2.706 4.688 0.000
2.706 1.563 4.419
Pr Pd Tl La
1 1 1 1
Direct
0.500 0.500 0.500 Pr
0.250 0.250 0.250 Pd
0.750 0.750 0.750 Tl
0.000 0.000 0.000 La
```

Values from the calculation:
Energy ... -19.2 eV per cell
D(E_F) ... 4.33 states/eV per cell
Calculated density ... 8.7 g cm⁻³



# 3
A relaxed La2Pd5Pt5 crystal, computed with PBE-GGA.

Cell and atoms, written as POSCAR:
```
La2Pd5Pt5
1.0
-0.634 4.360 -0.861
-4.407 -1.214 -2.907
-5.262 0.748 7.665
La Pd Pt
2 5 5
Direct
0.000 0.000 0.500 La
0.000 0.500 0.000 La
0.000 0.000 0.168 Pd
0.000 0.500 0.667 Pd
0.000 0.000 0.832 Pd
0.000 0.500 0.333 Pd
0.500 0.000 0.000 Pd
0.500 0.751 0.749 Pt
0.500 0.500 0.500 Pt
0.500 0.751 0.251 Pt
0.500 0.249 0.251 Pt
0.500 0.249 0.749 Pt
```

Values from the calculation:
Energy ... -74.4 eV per cell
D(E_F) ... 11.16 states/eV per cell
Calculated density ... 13.1 g cm⁻³



# 4
A relaxed LaPd3Pt crystal, computed with PBE-GGA.

Cell and atoms, written as POSCAR:
```
LaPd3Pt
1.0
-2.667 2.005 3.629
-4.118 -1.783 -2.041
0.483 -4.136 2.639
Pt Pd La
1 3 1
Direct
0.000 0.000 0.000 Pt
0.000 0.500 0.000 Pd
0.500 0.000 0.000 Pd
0.000 0.000 0.500 Pd
0.500 0.500 0.500 La
```

Values from the calculation:
Energy ... -26.2 eV per cell
Energy above the lowest structure with this stoichiometry ... 0.689 eV/atom
D(E_F) ... 5.34 states/eV per cell
Calculated density ... 9.1 g cm⁻³



# 5
A relaxed La8PdPt2 crystal, computed with PBE-GGA.

Cell and atoms, written as POSCAR:
```
La8PdPt2
1.0
-2.555 6.102 0.910
1.658 0.194 -7.563
-6.223 -4.427 1.293
La Pt Pd
8 2 1
Direct
0.785 0.647 0.647 La
0.965 0.189 0.793 La
0.337 0.645 0.924 La
0.613 0.354 0.085 La
0.337 0.924 0.645 La
0.965 0.793 0.189 La
0.185 0.363 0.363 La
0.613 0.085 0.354 La
0.494 0.325 0.690 Pt
0.494 0.690 0.325 Pt
0.211 0.018 0.018 Pd
```

Values from the calculation:
Energy ... -62.1 eV per cell
D(E_F) ... 14.63 states/eV per cell
Calculated density ... 7.6 g cm⁻³



# 6
A relaxed La6Pd5Pt crystal, computed with PBE-GGA.

Cell and atoms, written as POSCAR:
```
La6Pd5Pt
1.0
5.112 -0.327 0.837
-0.021 6.770 2.776
1.181 0.287 8.948
Pd La Pt
5 6 1
Direct
0.667 0.667 0.666 Pd
0.674 0.174 0.652 Pd
0.326 0.826 0.348 Pd
0.333 0.333 0.334 Pd
0.000 0.500 0.000 Pd
0.836 0.588 0.329 La
0.836 0.083 0.329 La
0.164 0.917 0.671 La
0.500 0.245 0.000 La
0.164 0.412 0.671 La
0.500 0.755 0.000 La
0.000 0.000 0.000 Pt
```

Values from the calculation:
Energy ... -71.3 eV per cell
D(E_F) ... 11.27 states/eV per cell
Calculated density ... 8.7 g cm⁻³



# 7
A relaxed LaPd6Pt6 crystal, computed with PBE-GGA.

Cell and atoms, written as POSCAR:
```
LaPd6Pt6
1.0
5.345 0.000 0.000
2.673 6.476 -0.053
2.673 0.102 6.476
Pd Pt La
6 6 1
Direct
0.651 0.349 0.349 Pd
0.706 0.794 0.794 Pd
0.000 0.347 0.653 Pd
0.294 0.206 0.206 Pd
0.000 0.653 0.347 Pd
0.349 0.651 0.651 Pd
0.500 0.772 0.228 Pt
0.500 0.500 0.000 Pt
0.000 0.000 0.500 Pt
0.500 0.000 0.500 Pt
0.000 0.500 0.000 Pt
0.500 0.228 0.772 Pt
0.000 0.000 0.000 La
```

Values from the calculation:
Energy ... -76.7 eV per cell
D(E_F) ... 15.79 states/eV per cell
Calculated density ... 14.4 g cm⁻³



# 8
A relaxed La2PdPt crystal, computed with PBE-GGA.

Cell and atoms, written as POSCAR:
```
La2PdPt
1.0
4.613 0.000 0.000
0.000 5.924 0.106
0.000 -2.816 7.450
La Pd Pt
4 2 2
Direct
0.750 0.234 0.930 La
0.750 0.228 0.435 La
0.250 0.772 0.565 La
0.250 0.766 0.070 La
0.250 0.318 0.205 Pd
0.750 0.682 0.795 Pd
0.250 0.321 0.705 Pt
0.750 0.679 0.295 Pt
```

Values from the calculation:
Energy ... -50.4 eV per cell
D(E_F) ... 5.14 states/eV per cell
Calculated density ... 9.4 g cm⁻³



# 9
A relaxed LaPd3Pt crystal, computed with PBE-GGA.

Cell and atoms, written as POSCAR:
```
LaPd3Pt
1.0
-3.263 3.002 -0.327
-3.252 -3.002 4.894
3.071 3.816 4.382
Pt Pd La
2 6 2
Direct
0.500 0.500 0.446 Pt
0.000 0.000 0.554 Pt
0.000 0.300 0.253 Pd
0.000 0.700 0.253 Pd
0.000 0.000 0.954 Pd
0.500 0.200 0.747 Pd
0.500 0.500 0.046 Pd
0.500 0.800 0.747 Pd
0.000 0.500 0.743 La
0.500 0.000 0.257 La
```

Values from the calculation:
Energy ... -58.4 eV per cell
Energy above the lowest structure with this stoichiometry ... 0.086 eV/atom
D(E_F) ... 10.72 states/eV per cell
Calculated density ... 11.3 g cm⁻³



# 10
A relaxed La2Pd12Pt5 crystal, computed with PBE-GGA.

Cell and atoms, written as POSCAR:
```
La2Pd12Pt5
1.0
6.961 0.154 0.753
0.692 6.928 0.753
0.166 0.154 7.000
Pd Pt La
12 5 2
Direct
0.156 0.650 0.650 Pd
0.702 0.298 0.000 Pd
0.350 0.844 0.350 Pd
0.650 0.156 0.650 Pd
0.650 0.650 0.156 Pd
0.000 0.298 0.702 Pd
0.702 0.000 0.298 Pd
0.000 0.702 0.298 Pd
0.298 0.000 0.702 Pd
0.844 0.350 0.350 Pd
0.298 0.702 0.000 Pd
0.350 0.350 0.844 Pd
0.000 0.500 0.000 Pt
0.896 0.896 0.896 Pt
0.000 0.000 0.500 Pt
0.104 0.104 0.104 Pt
0.500 0.000 0.000 Pt
0.668 0.668 0.668 La
0.332 0.332 0.332 La
```

Values from the calculation:
Energy ... -109.6 eV per cell
D(E_F) ... 19.87 states/eV per cell
Calculated density ... 12.5 g cm⁻³



# 11
A relaxed LaPd4Pt2 crystal, computed with PBE-GGA.

Cell and atoms, written as POSCAR:
```
LaPd4Pt2
1.0
-2.309 1.936 -4.471
-5.092 -1.661 -1.324
-3.003 4.618 0.316
Pd Pt La
4 2 1
Direct
0.705 0.591 0.000 Pd
0.295 0.409 0.000 Pd
0.295 0.000 0.409 Pd
0.705 0.000 0.591 Pd
0.250 0.500 0.500 Pt
0.750 0.500 0.500 Pt
0.000 0.000 0.000 La
```

Values from the calculation:
Energy ... -41.7 eV per cell
Energy above the lowest structure with this stoichiometry ... 0.000 eV/atom
D(E_F) ... 5.46 states/eV per cell
Calculated density ... 12.6 g cm⁻³



# 12
A relaxed La4PdPt2 crystal, computed with PBE-GGA.

Cell and atoms, written as POSCAR:
```
La4PdPt2
1.0
-2.865 -1.703 2.862
3.200 -6.660 -0.759
3.799 5.745 3.848
La Pt Pd
4 2 1
Direct
0.385 0.077 0.770 La
0.615 0.923 0.230 La
0.143 0.498 0.285 La
0.857 0.502 0.715 La
0.770 0.778 0.540 Pt
0.230 0.222 0.460 Pt
0.000 0.000 0.000 Pd
```

Values from the calculation:
Energy ... -43.2 eV per cell
D(E_F) ... 4.94 states/eV per cell
Calculated density ... 8.2 g cm⁻³



Quick rundown of total magnetic moment, same order as above: 0.000; 0.000; 0.000; 0.000; 0.000; 0.000; 0.000; 0.000; 0.000; 0.000; 0.000; 0.000 μB per atom
Quick rundown of formation enthalpy at 0 K, same order as above: -763; -475; -698; 71; -496; -814; -337; -1025; -531; -380; -557; -892 meV per atom